## Rb4Ac3GeS8 (PBE)

Data for a geometry-optimized Rb4Ac3GeS8 structure.

Computed properties:
Calculated total energy in eV per cell: -77.53

Cell: 8.6662 9.2233 8.6670 Å, 118.04 120.00 90.00°
Atoms (fractional coordinates):
Rb 0.0000 0.0000 0.0000
Ac 0.5000 0.5000 0.5000
Ac 0.5000 0.5000 0.0000
S 0.2194 0.6947 0.4387
S 0.7360 0.7079 0.4720
Rb 0.5000 0.0000 0.5000
S 0.2435 0.3056 0.0246
Rb 0.0000 0.0000 0.5000
Ge 0.0000 0.5000 0.0000
S 0.7810 0.3056 0.0246
S 0.2190 0.6944 0.9754
Ac 0.0000 0.5000 0.5000
S 0.7806 0.3053 0.5613
S 0.2640 0.2921 0.5280
Rb 0.5000 0.0000 0.0000
S 0.7565 0.6944 0.9754

## Hf8GaSn2 (PBE)

Data for a geometry-optimized Hf8GaSn2 structure.

Computed properties:
E_form in eV per atom: -0.222

Cell: 4.3428 7.3371 8.1604 Å, 108.64 105.43 90.00°
Atoms (fractional coordinates):
Sn 0.7805 0.3506 0.5610
Sn 0.2195 0.6494 0.4390
Hf 0.4125 0.5532 0.8250
Hf 0.6794 0.9188 0.3589
Hf 0.8624 0.8098 0.7247
Hf 0.9550 0.2492 0.9101
Ga 0.5000 0.0000 0.0000
Hf 0.1376 0.1902 0.2753
Hf 0.5875 0.4468 0.1750
Hf 0.0450 0.7508 0.0899
Hf 0.3206 0.0812 0.6411

## Al2Si3P3 (PBE)

Data for a geometry-optimized Al2Si3P3 structure.

Computed properties:
Calculated total energy in eV per cell: -78.44

Cell: 8.9611 6.9595 5.1025 Å, 76.86 66.44 70.78°
Atoms (fractional coordinates):
Si 0.4121 0.4458 0.2722
Al 0.1865 0.3767 0.7675
P 0.1116 0.5874 0.1591
P 0.7179 0.9565 0.0011
P 0.8884 0.4126 0.8409
Si 0.8625 0.1260 0.1754
Si 0.5879 0.5542 0.7278
Si 0.4263 0.0452 0.3077
Si 0.5737 0.9548 0.6923
Si 0.1375 0.8740 0.8246
Al 0.9480 0.8145 0.5551
P 0.2821 0.0435 0.9989
P 0.3914 0.7188 0.5015
Al 0.8135 0.6233 0.2325
P 0.6086 0.2812 0.4985
Al 0.0520 0.1855 0.4449

## TbYCo3 (PBE)

Data for a geometry-optimized TbYCo3 structure.

Computed properties:
E_form in eV per atom: -0.187

Cell: 3.8778 4.0876 11.8556 Å, 99.93 90.00 90.00°
Last column: magnetic moment on the atom in μB.
Atoms (fractional coordinates):
Co 0.2500 0.3803 0.7606  0.82
Co 0.2500 0.6669 0.3338  0.68
Tb 0.7500 0.2039 0.4078  -0.19
Co 0.7500 0.5236 0.0473  0.85
Co 0.2500 0.4764 0.9527  0.85
Co 0.7500 0.3331 0.6662  0.68
Tb 0.2500 0.7961 0.5922  -0.19
Co 0.7500 0.6197 0.2394  0.82
Y 0.7500 0.9303 0.8606  -0.12
Y 0.2500 0.0697 0.1394  -0.12

## CaAc3Dy3Se8 (PBE)

Data for a geometry-optimized CaAc3Dy3Se8 structure.

Computed properties:
Calculated total energy in eV per cell: -84.32

Cell: 8.3927 8.3933 8.6269 Å, 119.10 90.00 120.00°
Atoms (fractional coordinates):
Dy 0.5000 0.5000 0.5000
Se 0.2474 0.9819 0.7292
Ac 0.5000 0.5000 0.0000
Ca 0.0000 0.0000 0.5000
Se 0.2593 0.5186 0.2781
Se 0.2473 0.4947 0.7293
Ac 0.0000 0.0000 0.0000
Se 0.7345 0.9819 0.7292
Se 0.2655 0.0181 0.2708
Se 0.7526 0.0181 0.2708
Ac 0.0000 0.5000 0.0000
Se 0.7527 0.5053 0.2707
Dy 0.0000 0.5000 0.5000
Dy 0.5000 0.0000 0.5000
Se 0.7407 0.4814 0.7219

## La2ScAs (PBE)

Data for a geometry-optimized La2ScAs structure.

Computed properties:
E_form in eV per atom: -0.586

Cell: 3.7040 3.7040 8.0739 Å, 90.00 90.00 90.00°
Last column: magnetic moment on the atom in μB.
Atoms (fractional coordinates):
La 0.0000 0.0000 0.9463  0.20
Sc 0.0000 0.0000 0.5679  -0.18
La 0.5000 0.5000 0.2874  0.01
As 0.5000 0.5000 0.6984  0.01

## PrHo6Ga3 (PBE)

Data for a geometry-optimized PrHo6Ga3 structure.

Computed properties:
E_form in eV per atom: -0.308

Cell: 8.2899 8.2904 8.2904 Å, 99.99 90.00 90.00°
Atoms (fractional coordinates):
Ho 0.5143 0.2231 0.7769
Ho 0.3074 0.0576 0.4097
Ho 0.1667 0.4005 0.2662
Ga 0.9681 0.1210 0.2805
Ga 0.8660 0.5702 0.4298
Ho 0.1908 0.0326 0.9674
Pr 0.0298 0.3262 0.6738
Ga 0.9681 0.7195 0.8790
Ho 0.6667 0.5995 0.7338
Pr 0.5298 0.6738 0.3262
Ho 0.1667 0.7338 0.5995
Ga 0.3660 0.4298 0.5702
Ho 0.8074 0.4097 0.0576
Ho 0.8074 0.9424 0.5903
Ho 0.0143 0.7769 0.2231
Ho 0.6908 0.9674 0.0326
Ho 0.3074 0.5903 0.9424
Ga 0.4681 0.8790 0.7195
Ho 0.6667 0.2662 0.4005
Ga 0.4681 0.2805 0.1210

## Tm4InPb2 (PBE)

Data for a geometry-optimized Tm4InPb2 structure.

Computed properties:
E_form in eV per atom: -0.284

Cell: 6.0262 6.6319 10.3506 Å, 90.00 103.54 90.00°
Atoms (fractional coordinates):
Tm 0.4756 0.0035 0.7349
In 0.9408 0.2500 0.8415
Pb 0.3067 0.2500 0.4626
Tm 0.1429 0.7500 0.4584
Tm 0.0223 0.7500 0.8353
Tm 0.8571 0.2500 0.5416
Tm 0.4756 0.4965 0.7349
Tm 0.5244 0.9965 0.2651
Pb 0.4200 0.2500 0.9989
Pb 0.5800 0.7500 0.0011
Tm 0.9776 0.2500 0.1647
Pb 0.6933 0.7500 0.5374
Tm 0.5244 0.5035 0.2651
In 0.0592 0.7500 0.1585

## NaCeTm2 (PBE)

Data for a geometry-optimized NaCeTm2 structure.

Computed properties:
E_form in eV per atom: 0.192

Cell: 3.4341 3.4341 12.5085 Å, 82.11 82.11 60.00°
Last column: magnetic moment on the atom in μB.
Atoms (fractional coordinates):
Tm 0.9069 0.9069 0.2793  0.00
Ce 0.5000 0.5000 0.5000  0.20
Tm 0.0931 0.0931 0.7207  0.00
Na 0.0000 0.0000 0.0000  0.00

## Sc2NiAuSe (PBE)

Data for a geometry-optimized Sc2NiAuSe structure.

Computed properties:
Calculated total energy in eV per cell: -24.47

Cell: 4.9486 4.8212 4.9486 Å, 90.00 90.00 90.00°
Atoms (fractional coordinates):
Sc 0.5000 0.0000 0.0000
Se 0.0000 0.0000 0.0000
Ni 0.5000 0.5000 0.5000
Au 0.0000 0.5000 0.0000
Sc 0.0000 0.0000 0.5000

## PuMnCl6 (PBE)

Data for a geometry-optimized PuMnCl6 structure.

Computed properties:
Calculated total energy in eV per cell: -46.08

Cell: 7.0398 7.0398 6.3532 Å, 97.60 97.60 126.29°
Last column: magnetic moment on the atom in μB.
Atoms (fractional coordinates):
Cl 0.4027 0.1263 0.2643  -0.02
Cl 0.5973 0.8737 0.7357  -0.02
Cl 0.2543 0.2543 0.7451  -0.04
Pu 0.0000 0.0000 0.0000  4.60
Mn 0.5000 0.5000 0.5000  4.21
Cl 0.1263 0.4027 0.2643  -0.02
Cl 0.8737 0.5973 0.7357  -0.02
Cl 0.7457 0.7457 0.2549  -0.04

## BePdN3 (PBE)

Data for a geometry-optimized BePdN3 structure.

Computed properties:
Calculated total energy in eV per cell: -26.24

Cell: 3.4962 3.4962 3.4962 Å, 90.00 90.00 90.00°
Atoms (fractional coordinates):
N 0.0000 0.5000 0.0000
N 0.0000 0.0000 0.5000
N 0.5000 0.0000 0.0000
Pd 0.5000 0.5000 0.5000
Be 0.0000 0.0000 0.0000

> What is the formula in the sixth record?

La2ScAs